The following is a PBE calculation of a geometry-optimized SrRe2P structure, from the Alexandria database.

Its formation enthalpy at 0 K is 0.479 eV per atom. For the total magnetic moment, the calculation gives 0.00 Bohr magnetons per cell.

It has space group Immm (No. 71), with a = 2.8727 Å, b = 4.9684 Å, c = 9.8874 Å, α = 90.00°, β = 90.00° and γ = 90.00°. The inequivalent atoms are Sr at (0.0000, 0.0000, 0.0000), Re at (0.0000, 0.5000, 0.2030) and P at (0.0000, 0.0000, 0.5000).

=====

The following is a PBE calculation of a geometry-optimized Na5SbO5 structure, from the Alexandria database.

As for the formation energy from raw total energies: -35.45 kcal/mol of atoms. For the total magnetic moment, the calculation gives 0.00 Bohr magnetons per cell.

It has space group C2 (No. 5), with a = 10.7487 Å, b = 4.6764 Å, c = 6.4569 Å, α = 90.00°, β = 108.98° and γ = 90.00°. The inequivalent atoms are Na at (0.0000, 0.0000, 0.0000), Na at (0.1759, 0.5118, 0.3563), Na at (0.1953, 0.5144, 0.8206), Sb at (0.0000, 0.0486, 0.5000), O at (0.0000, 0.4743, 0.5000), O at (0.1331, 0.0033, 0.3459) and O at (0.1457, 0.0072, 0.7935).

=====

The following is a PBE calculation of a geometry-optimized ZrNi2Ir structure, from the Alexandria database.

Its formation enthalpy at 0 K is 0.166 eV per atom. For the total magnetic moment, the calculation gives 4.19 Bohr magnetons per cell.

It has space group R-3m (No. 166, hexagonal axes), with a = 2.7702 Å, b = 2.7702 Å, c = 26.4962 Å, α = 90.00°, β = 90.00° and γ = 120.00°. The inequivalent atoms are Zr at (0.0000, 0.0000, 0.0000), Ni at (0.0000, 0.0000, 0.2447) and Ir at (0.0000, 0.0000, 0.5000).

=====

The following is a PBE calculation of a geometry-optimized CsNaS2Cl structure, from the Alexandria database.

As for the formation energy from raw total energies: 2.71 kcal/mol of atoms. For the polymorph energy (0 for the lowest one), the calculation gives 0.485 eV/atom. For the total magnetic moment, the calculation gives 1.06 Bohr magnetons per cell.

It has space group P4/mmm (No. 123), with a = 5.5834 Å, b = 5.5834 Å, c = 6.4572 Å, α = 90.00°, β = 90.00° and γ = 90.00°. The inequivalent atoms are Cs at (0.0000, 0.0000, 0.0000), Na at (0.5000, 0.5000, 0.5000), S at (0.0000, 0.5000, 0.0000) and Cl at (0.0000, 0.0000, 0.5000).

=====

The following is a PBE calculation of a geometry-optimized Hg4RuCl structure, from the Alexandria database.

As for the formation energy from raw total energies: 15.24 kcal/mol of atoms. For the total magnetic moment, the calculation gives 10.24 Bohr magnetons per cell.

It has space group F-43m (No. 216), with a = 8.3445 Å, b = 8.3445 Å, c = 8.3445 Å, α = 90.00°, β = 90.00° and γ = 90.00°. The inequivalent atoms are Hg at (0.1247, 0.1247, 0.1247), Ru at (0.2500, 0.2500, 0.7500) and Cl at (0.0000, 0.0000, 0.5000).

=====

The following is a PBE calculation of a geometry-optimized Co2Mo structure, from the Alexandria database.

Its formation enthalpy at 0 K is 0.019 eV per atom. For the total magnetic moment, the calculation gives 0.00 Bohr magnetons per cell.

It has space group P6_3/mmc (No. 194), with a = 4.6678 Å, b = 4.6678 Å, c = 7.6351 Å, α = 90.00°, β = 90.00° and γ = 120.00°. The inequivalent atoms are Co at (0.0000, 0.0000, 0.0000), Co at (0.1686, 0.3372, 0.2500) and Mo at (0.3333, 0.6667, 0.5684).

=====

The following is a PBE calculation of a geometry-optimized CsSm6Se8 structure, from the Alexandria database.

As for the formation energy from raw total energies: -40.51 kcal/mol of atoms. For the total magnetic moment, the calculation gives 0.49 Bohr magnetons per cell.

It has space group P-3 (No. 147), with a = 11.3437 Å, b = 11.3437 Å, c = 4.2496 Å, α = 90.00°, β = 90.00° and γ = 120.00°. The inequivalent atoms are Cs at (0.0000, 0.0000, 0.0000), Sm at (0.1386, 0.4809, 0.2506), Se at (0.0464, 0.6855, 0.2490) and Se at (0.3333, 0.6667, 0.7509).

=====

The following is a PBE calculation of a geometry-optimized TiNiS3 structure, from the Alexandria database.

As for the formation energy from raw total energies: -17.63 kcal/mol of atoms. For the polymorph energy (0 for the lowest one), the calculation gives 0.000 eV/atom. For the total magnetic moment, the calculation gives 0.00 Bohr magnetons per cell.

It has space group P2_1/m (No. 11), with a = 6.0568 Å, b = 3.5710 Å, c = 9.4467 Å, α = 90.00°, β = 107.08° and γ = 90.00°. The inequivalent atoms are Ti at (0.2392, 0.2500, 0.4426), Ni at (0.3799, 0.2500, 0.8492), S at (0.0614, 0.2500, 0.6480), S at (0.3128, 0.7500, 0.9582) and S at (0.4247, 0.7500, 0.3401).

=====

The following is a PBE calculation of a geometry-optimized Ba2NaSrAg structure, from the Alexandria database.

Its formation enthalpy at 0 K is -0.061 eV per atom. For the polymorph energy (0 for the lowest one), the calculation gives 0.000 eV/atom. For the total magnetic moment, the calculation gives 0.00 Bohr magnetons per cell.

It has space group P4/mmm (No. 123), with a = 6.5454 Å, b = 6.5454 Å, c = 6.2967 Å, α = 90.00°, β = 90.00° and γ = 90.00°. The inequivalent atoms are Ba at (0.0000, 0.5000, 0.0000), Na at (0.0000, 0.0000, 0.5000), Sr at (0.5000, 0.5000, 0.5000) and Ag at (0.5000, 0.5000, 0.0000).

=====

The following is a PBE calculation of a geometry-optimized NdCo9Ge4 structure, from the Alexandria database.

Its formation enthalpy at 0 K is -0.266 eV per atom. For the total magnetic moment, the calculation gives 28.11 Bohr magnetons per cell.

It has space group I4/mcm (No. 140), with a = 7.8895 Å, b = 7.8895 Å, c = 11.8218 Å, α = 90.00°, β = 90.00° and γ = 90.00°. The inequivalent atoms are Nd at (0.0000, 0.0000, 0.2500), Co at (0.0000, 0.5000, 0.0000), Co at (0.0662, 0.1991, 0.0000), Co at (0.1234, 0.3766, 0.1773) and Ge at (0.1726, 0.3274, 0.3743).

=====

The following is a PBE calculation of a geometry-optimized Tb3DyPd structure, from the Alexandria database.

Its formation enthalpy at 0 K is -0.258 eV per atom. For the polymorph energy (0 for the lowest one), the calculation gives 0.094 eV/atom. For the total magnetic moment, the calculation gives 0.00 Bohr magnetons per cell.

It has space group C2/m (No. 12), with a = 11.5998 Å, b = 8.4950 Å, c = 7.9520 Å, α = 90.00°, β = 128.99° and γ = 90.00°. The inequivalent atoms are Tb at (0.0404, 0.0000, 0.3143), Tb at (0.2087, 0.3013, 0.7410), Dy at (0.0721, 0.5000, 0.2722) and Pd at (0.2309, 0.5000, 0.0852).

=====

The following is a PBE calculation of a geometry-optimized Pm2ZnGa4Ag2 structure, from the Alexandria database.

Its formation enthalpy at 0 K is -0.364 eV per atom. For the total magnetic moment, the calculation gives 0.00 Bohr magnetons per cell.

It has space group I4/mmm (No. 139), with a = 6.3877 Å, b = 6.3877 Å, c = 9.1161 Å, α = 90.00°, β = 90.00° and γ = 90.00°. The inequivalent atoms are Pm at (0.0000, 0.5000, 0.2500), Zn at (0.0000, 0.0000, 0.0000), Ga at (0.2163, 0.2163, 0.5000) and Ag at (0.0000, 0.0000, 0.2822).